Material: K2RbHfBr8
Method: DFT, PBE
State: relaxed

Values from the calculation:
VASP energy = -3.640 eV/atom
ΔE_f (raw) = -1658 kJ/mol of formula units

The structure in CIF format:
```
data_K2RbHfBr8
_cell_length_a 6.3544
_cell_length_b 7.5604
_cell_length_c 10.1016
_cell_angle_alpha 89.94
_cell_angle_beta 89.80
_cell_angle_gamma 89.66
_space_group_name_H-M_alt 'P -1'
_space_group_IT_number 2
loop_
_space_group_symop_operation_xyz
'x,y,z'
'-x,-y,-z'
loop_
_atom_site_label
_atom_site_fract_x
_atom_site_fract_y
_atom_site_fract_z
K1 0.0021 0.9997 0.2197
Rb1 0.5000 0.5000 0.5000
Hf1 0.5000 0.5000 0.0000
Br1 0.2571 0.3775 0.1895
Br2 0.2594 0.3749 0.8116
Br3 0.2615 0.9899 0.5001
Br4 0.2925 0.8008 0.9985
```

---

Material: VNi2PdN
Method: DFT, PBE
State: relaxed

Values from the calculation:
VASP energy = -7.094 eV/atom
ΔE_f (raw) = -123 kJ/mol of formula units

The structure in CIF format:
```
data_VNi2PdN
_cell_length_a 3.8292
_cell_length_b 3.8292
_cell_length_c 3.8818
_cell_angle_alpha 90.00
_cell_angle_beta 90.00
_cell_angle_gamma 90.00
_space_group_name_H-M_alt 'P 4/m m m'
_space_group_IT_number 123
_space_group_name_Hall '-P 4 2'
loop_
_atom_site_label
_atom_site_fract_x
_atom_site_fract_y
_atom_site_fract_z
V1 0.0000 0.0000 0.0000
Ni1 0.0000 0.5000 0.5000
Pd1 0.5000 0.5000 0.0000
N1 0.0000 0.0000 0.5000
```

---

Material: GdY2Ho
Method: DFT, PBE
State: relaxed

Values from the calculation:
VASP energy = -7.871 eV/atom
formation energy = 0.025 eV per atom

The structure in CIF format:
```
data_GdY2Ho
_cell_length_a 5.0370
_cell_length_b 5.0370
_cell_length_c 5.0419
_cell_angle_alpha 90.00
_cell_angle_beta 90.00
_cell_angle_gamma 90.00
_space_group_name_H-M_alt 'P 4/m m m'
_space_group_IT_number 123
_space_group_name_Hall '-P 4 2'
loop_
_atom_site_label
_atom_site_fract_x
_atom_site_fract_y
_atom_site_fract_z
Gd1 0.0000 0.0000 0.0000
Y1 0.0000 0.5000 0.5000
Ho1 0.5000 0.5000 0.0000
```

---

Material: CaTePt2
Method: DFT, PBE
State: relaxed

Values from the calculation:
VASP energy = -4.952 eV/atom
ΔE_f (raw) = -249 kJ/mol of formula units

The structure in CIF format:
```
data_CaTePt2
_cell_length_a 9.9641
_cell_length_b 3.8968
_cell_length_c 5.1087
_cell_angle_alpha 90.00
_cell_angle_beta 110.14
_cell_angle_gamma 90.00
_space_group_name_H-M_alt 'C 1 m 1'
_space_group_IT_number 8
loop_
_space_group_symop_operation_xyz
'x,y,z'
'x,-y,z'
'x+1/2,y+1/2,z'
'x+1/2,-y+1/2,z'
loop_
_atom_site_label
_atom_site_fract_x
_atom_site_fract_y
_atom_site_fract_z
Ca1 0.0000 0.0000 0.0000
Te1 0.2088 0.0000 0.6376
Pt1 0.0083 0.5000 0.4475
Pt2 0.3161 0.5000 0.4025
```

---

Material: YHoPuCd
Method: DFT, PBE
State: relaxed

Values from the calculation:
VASP energy = -6.501 eV/atom
formation energy = 0.071 eV per atom

The structure in CIF format:
```
data_YHoPuCd
_cell_length_a 7.6381
_cell_length_b 7.6381
_cell_length_c 7.6381
_cell_angle_alpha 90.00
_cell_angle_beta 90.00
_cell_angle_gamma 90.00
_space_group_name_H-M_alt 'F -4 3 m'
_space_group_IT_number 216
_space_group_name_Hall 'F -4 2 3'
loop_
_atom_site_label
_atom_site_fract_x
_atom_site_fract_y
_atom_site_fract_z
Y1 0.0000 0.0000 0.0000
Ho1 0.0000 0.0000 0.5000
Pu1 0.2500 0.2500 0.2500
Cd1 0.2500 0.2500 0.7500
```

---

Material: YMgZrZn2
Method: DFT, PBE
State: relaxed

Values from the calculation:
VASP energy = -2.705 eV/atom
formation energy = 1.126 eV per atom

The structure in CIF format:
```
data_YMgZrZn2
_cell_length_a 5.0826
_cell_length_b 5.0826
_cell_length_c 5.3014
_cell_angle_alpha 90.00
_cell_angle_beta 90.00
_cell_angle_gamma 90.00
_space_group_name_H-M_alt 'P 4/m m m'
_space_group_IT_number 123
_space_group_name_Hall '-P 4 2'
loop_
_atom_site_label
_atom_site_fract_x
_atom_site_fract_y
_atom_site_fract_z
Y1 0.0000 0.0000 0.0000
Mg1 0.0000 0.0000 0.5000
Zr1 0.5000 0.5000 0.5000
Zn1 0.0000 0.5000 0.0000
```

---

Material: LiGa3Co3
Method: DFT, PBE
State: relaxed

Values from the calculation:
VASP energy = -4.722 eV/atom
formation energy = -0.106 eV per atom

The structure in CIF format:
```
data_LiGa3Co3
_cell_length_a 7.7228
_cell_length_b 8.3591
_cell_length_c 5.6816
_cell_angle_alpha 90.00
_cell_angle_beta 90.00
_cell_angle_gamma 90.00
_space_group_name_H-M_alt 'C m m m'
_space_group_IT_number 65
_space_group_name_Hall '-C 2 2'
loop_
_atom_site_label
_atom_site_fract_x
_atom_site_fract_y
_atom_site_fract_z
Li1 0.1705 0.0000 0.0000
Ga1 0.0000 0.5000 0.2665
Ga2 0.2500 0.2500 0.2517
Co1 0.0000 0.2436 0.5000
Co2 0.0000 0.2774 0.0000
Co3 0.2131 0.0000 0.5000
```

---

Material: Zn2CdCu
Method: DFT, PBE
State: relaxed

Values from the calculation:
VASP energy = -1.786 eV/atom
formation energy = 0.104 eV per atom

The structure in CIF format:
```
data_Zn2CdCu
_cell_length_a 3.1611
_cell_length_b 4.5628
_cell_length_c 8.8964
_cell_angle_alpha 90.00
_cell_angle_beta 90.00
_cell_angle_gamma 90.00
_space_group_name_H-M_alt 'C m m 2'
_space_group_IT_number 35
loop_
_space_group_symop_operation_xyz
'x,y,z'
'-x,-y,z'
'-x,y,z'
'x,-y,z'
'x+1/2,y+1/2,z'
'-x+1/2,-y+1/2,z'
'-x+1/2,y+1/2,z'
'x+1/2,-y+1/2,z'
loop_
_atom_site_label
_atom_site_fract_x
_atom_site_fract_y
_atom_site_fract_z
Zn1 0.0000 0.0000 0.0000
Zn2 0.0000 0.5000 0.2464
Cd1 0.0000 0.5000 0.7185
Cu1 0.0000 0.0000 0.4639
```

---

Material: Ti3SnHg
Method: DFT, PBE
State: relaxed

Values from the calculation:
VASP energy = -4.704 eV/atom
formation energy = 0.893 eV per atom

The structure in CIF format:
```
data_Ti3SnHg
_cell_length_a 5.0171
_cell_length_b 5.0171
_cell_length_c 5.0171
_cell_angle_alpha 90.00
_cell_angle_beta 90.00
_cell_angle_gamma 90.00
_space_group_name_H-M_alt 'P m -3 m'
_space_group_IT_number 221
_space_group_name_Hall '-P 4 2 3'
loop_
_atom_site_label
_atom_site_fract_x
_atom_site_fract_y
_atom_site_fract_z
Ti1 0.0000 0.0000 0.5000
Sn1 0.0000 0.0000 0.0000
Hg1 0.5000 0.5000 0.5000
```

---

Material: AcAgAu
Method: DFT, PBE
State: relaxed

Values from the calculation:
VASP energy = -4.000 eV/atom
formation energy = -0.588 eV per atom

The structure in CIF format:
```
data_AcAgAu
_cell_length_a 11.5152
_cell_length_b 4.8922
_cell_length_c 8.0066
_cell_angle_alpha 90.00
_cell_angle_beta 134.04
_cell_angle_gamma 90.00
_space_group_name_H-M_alt 'C 1 2/m 1'
_space_group_IT_number 12
loop_
_space_group_symop_operation_xyz
'x,y,z'
'-x,-y,-z'
'-x,y,-z'
'x,-y,z'
'x+1/2,y+1/2,z'
'-x+1/2,-y+1/2,-z'
'-x+1/2,y+1/2,-z'
'x+1/2,-y+1/2,z'
loop_
_atom_site_label
_atom_site_fract_x
_atom_site_fract_y
_atom_site_fract_z
Ac1 0.0011 0.0000 0.2490
Ag1 0.1658 0.5000 0.6674
Au1 0.1717 0.5000 0.1707
```

---

Material: Rb2FeTePd
Method: DFT, PBE
State: relaxed

Values from the calculation:
VASP energy = -3.404 eV/atom
ΔE_f (raw) = 165 kJ/mol of formula units

The structure in CIF format:
```
data_Rb2FeTePd
_cell_length_a 6.4517
_cell_length_b 6.4517
_cell_length_c 4.7193
_cell_angle_alpha 90.00
_cell_angle_beta 90.00
_cell_angle_gamma 90.00
_space_group_name_H-M_alt 'P 4/m m m'
_space_group_IT_number 123
_space_group_name_Hall '-P 4 2'
loop_
_atom_site_label
_atom_site_fract_x
_atom_site_fract_y
_atom_site_fract_z
Rb1 0.0000 0.5000 0.0000
Fe1 0.0000 0.0000 0.5000
Te1 0.5000 0.5000 0.5000
Pd1 0.0000 0.0000 0.0000
```

---

Material: TbZnPd2
Method: DFT, PBE
State: relaxed

Values from the calculation:
VASP energy = -4.716 eV/atom
formation energy = -0.643 eV per atom

The structure in CIF format:
```
data_TbZnPd2
_cell_length_a 4.5196
_cell_length_b 4.5196
_cell_length_c 3.5636
_cell_angle_alpha 90.00
_cell_angle_beta 90.00
_cell_angle_gamma 90.00
_space_group_name_H-M_alt 'P 4/m m m'
_space_group_IT_number 123
_space_group_name_Hall '-P 4 2'
loop_
_atom_site_label
_atom_site_fract_x
_atom_site_fract_y
_atom_site_fract_z
Tb1 0.0000 0.0000 0.0000
Zn1 0.5000 0.5000 0.0000
Pd1 0.0000 0.5000 0.5000
```